Record 1
! SiGeC, optimized geometry, DFT PBE; values from VASP
&SYSTEM
  ibrav = 0, nat = 3, ntyp = 3
/
ATOMIC_SPECIES
Si 28.09 Si.upf
Ge 72.64 Ge.upf
C 12.01 C.upf
CELL_PARAMETERS angstrom
4.872 -1.569 0.000
4.872 1.569 0.000
-0.958 0.000 2.915
ATOMIC_POSITIONS crystal
Si 0.000 0.000 0.000
Ge 0.746 0.746 0.742
C 0.114 0.114 0.613
! V: 44.6 Å³ per cell
! space group: Cm, No. 8
! crystal system: monoclinic
! formation energy from raw total energies: 0.538 eV/atom

***

Record 2
! SiGeC, optimized geometry, DFT PBE; values from VASP
&SYSTEM
  ibrav = 0, nat = 3, ntyp = 3
/
ATOMIC_SPECIES
Si 28.09 Si.upf
Ge 72.64 Ge.upf
C 12.01 C.upf
CELL_PARAMETERS angstrom
1.528 0.882 5.228
-1.528 0.882 5.228
0.000 -1.764 5.228
ATOMIC_POSITIONS crystal
Si 0.000 0.000 0.000
Ge 0.837 0.837 0.837
C 0.701 0.701 0.701
! V: 42.3 Å³ per cell
! space group: R3m, No. 160
! crystal system: trigonal
! formation energy from raw total energies: 0.262 eV/atom